(1)
Compound: Cs2HgCl4
Source: Alexandria
Functional: GGA-PBEsol
Structure: optimized geometry

Computed properties:
Magnetic moment ... 0.0 μB/f.u.
Calculated volume ... 34.62 A^3/atom
Formation energy from raw total energies ... -1.4210 eV/atom

```
data_Cs2HgCl4
_space_group_name_H-M_alt 'P 1 21/c 1'
_space_group_IT_number 14
_cell_length_a 9.591
_cell_length_b 7.424
_cell_length_c 27.234
_cell_angle_alpha 90.00
_cell_angle_beta 91.34
_cell_angle_gamma 90.00
loop_
_space_group_symop_operation_xyz
'x,y,z'
'-x,-y,-z'
'-x,y+1/2,-z+1/2'
'x,-y+1/2,z+1/2'
loop_
_atom_site_label
_atom_site_type_symbol
_atom_site_fract_x
_atom_site_fract_y
_atom_site_fract_z
_atom_site_occupancy
Cs1 Cs 0.005 0.249 0.153 1
Cs2 Cs 0.120 0.725 0.059 1
Cs3 Cs 0.382 0.249 0.286 1
Cs4 Cs 0.485 0.704 0.412 1
Hg1 Hg 0.197 0.734 0.215 1
Hg2 Hg 0.284 0.226 0.460 1
Cl1 Cl 0.039 0.124 0.274 1
Cl2 Cl 0.170 0.189 0.039 1
Cl3 Cl 0.178 0.577 0.943 1
Cl4 Cl 0.194 0.094 0.888 1
Cl5 Cl 0.299 0.507 0.672 1
Cl6 Cl 0.318 0.015 0.666 1
Cl7 Cl 0.334 0.749 0.295 1
Cl8 Cl 0.461 0.742 0.538 1
```

(2)
Compound: Cs2Hg2Cl
Source: Alexandria
Functional: GGA-PBEsol
Structure: optimized geometry

Computed properties:
Magnetic moment ... 0.0 μB/f.u.
Calculated volume ... 36.45 A^3/atom
Formation energy from raw total energies ... -0.8696 eV/atom

```
data_Cs2Hg2Cl
_space_group_name_H-M_alt 'I 4/m m m'
_space_group_IT_number 139
_space_group_name_Hall '-I 4 2'
_cell_length_a 4.225
_cell_length_b 4.225
_cell_length_c 20.420
_cell_angle_alpha 90.00
_cell_angle_beta 90.00
_cell_angle_gamma 90.00
loop_
_atom_site_label
_atom_site_type_symbol
_atom_site_fract_x
_atom_site_fract_y
_atom_site_fract_z
_atom_site_occupancy
Cs1 Cs 0.000 0.000 0.096 1
Hg1 Hg 0.000 0.500 0.250 1
Cl1 Cl 0.000 0.000 0.500 1
```

(3)
Compound: CsHo2Cl7
Source: Alexandria
Functional: GGA-PBEsol
Structure: optimized geometry

Computed properties:
Magnetic moment ... 0.0 μB/f.u.
Calculated volume ... 28.97 A^3/atom
Formation energy from raw total energies ... -2.2817 eV/atom

```
data_CsHo2Cl7
_space_group_name_H-M_alt 'P n m a'
_space_group_IT_number 62
_cell_length_a 13.595
_cell_length_b 6.859
_cell_length_c 12.427
_cell_angle_alpha 90.00
_cell_angle_beta 90.00
_cell_angle_gamma 90.00
loop_
_space_group_symop_operation_xyz
'x,y,z'
'-x,-y,-z'
'-x+1/2,-y,z+1/2'
'x+1/2,y,-z+1/2'
'x+1/2,-y+1/2,-z+1/2'
'-x+1/2,y+1/2,z+1/2'
'-x,y+1/2,-z'
'x,-y+1/2,z'
loop_
_atom_site_label
_atom_site_type_symbol
_atom_site_fract_x
_atom_site_fract_y
_atom_site_fract_z
_atom_site_occupancy
Cs1 Cs 0.037 0.250 0.204 1
Ho1 Ho 0.242 0.250 0.549 1
Ho2 Ho 0.248 0.250 0.853 1
Cl1 Cl 0.112 0.750 0.200 1
Cl2 Cl 0.129 0.009 0.435 1
Cl3 Cl 0.132 0.010 0.968 1
Cl4 Cl 0.181 0.007 0.702 1
```

(4)
Compound: Cs2KHoCl6
Source: Alexandria
Functional: GGA-PBEsol
Structure: optimized geometry

Computed properties:
Magnetic moment ... 0.0 μB/f.u.
Calculated volume ... 33.75 A^3/atom
Formation energy from raw total energies ... -2.1475 eV/atom

```
data_Cs2KHoCl6
_space_group_name_H-M_alt 'F m -3 m'
_space_group_IT_number 225
_space_group_name_Hall '-F 4 2 3'
_cell_length_a 11.052
_cell_length_b 11.052
_cell_length_c 11.052
_cell_angle_alpha 90.00
_cell_angle_beta 90.00
_cell_angle_gamma 90.00
loop_
_atom_site_label
_atom_site_type_symbol
_atom_site_fract_x
_atom_site_fract_y
_atom_site_fract_z
_atom_site_occupancy
Cs1 Cs 0.250 0.250 0.250 1
K1 K 0.000 0.000 0.000 1
Ho1 Ho 0.000 0.000 0.500 1
Cl1 Cl 0.000 0.000 0.266 1
```

(5)
Compound: Cs8Na4YHo3Cl24
Source: Alexandria
Functional: GGA-PBEsol
Structure: optimized geometry

Computed properties:
Magnetic moment ... 0.0 μB/f.u.
Calculated volume ... 30.04 A^3/atom
Formation energy from raw total energies ... -2.1400 eV/atom

```
data_Cs8Na4YHo3Cl24
_space_group_name_H-M_alt 'R -3 m'
_space_group_IT_number 166
_space_group_name_Hall '-R 3 2"'
_cell_length_a 7.5175
_cell_length_b 7.5175
_cell_length_c 73.6510
_cell_angle_alpha 90.00
_cell_angle_beta 90.00
_cell_angle_gamma 120.00
loop_
_atom_site_label
_atom_site_type_symbol
_atom_site_fract_x
_atom_site_fract_y
_atom_site_fract_z
_atom_site_occupancy
Cs1 Cs 0.0000 0.0000 0.0625 1
Cs2 Cs 0.0000 0.0000 0.1875 1
Cs3 Cs 0.0000 0.0000 0.3125 1
Cs4 Cs 0.0000 0.0000 0.4375 1
Na1 Na 0.0000 0.0000 0.1250 1
Na2 Na 0.0000 0.0000 0.3751 1
Y1 Y 0.0000 0.0000 0.0000 1
Ho1 Ho 0.0000 0.0000 0.2500 1
Ho2 Ho 0.0000 0.0000 0.5000 1
Cl1 Cl 0.0071 0.5035 0.6871 1
Cl2 Cl 0.0084 0.5042 0.1870 1
Cl3 Cl 0.0084 0.5042 0.4370 1
Cl4 Cl 0.0085 0.5042 0.9369 1
```

(6)
Compound: CsICl
Source: Alexandria
Functional: GGA-PBEsol
Structure: optimized geometry

Computed properties:
Magnetic moment ... 0.0 μB/f.u.
Calculated volume ... 43.73 A^3/atom
Formation energy from raw total energies ... -1.3184 eV/atom

```
data_CsICl
_space_group_name_H-M_alt 'I 4/m m m'
_space_group_IT_number 139
_space_group_name_Hall '-I 4 2'
_cell_length_a 4.790
_cell_length_b 4.790
_cell_length_c 22.872
_cell_angle_alpha 90.00
_cell_angle_beta 90.00
_cell_angle_gamma 90.00
loop_
_atom_site_label
_atom_site_type_symbol
_atom_site_fract_x
_atom_site_fract_y
_atom_site_fract_z
_atom_site_occupancy
Cs1 Cs 0.000 0.000 0.161 1
I1 I 0.000 0.000 0.439 1
Cl1 Cl 0.000 0.000 0.310 1
```

(7)
Compound: CsMo2ICl
Source: Alexandria
Functional: GGA-PBEsol
Structure: optimized geometry

Computed properties:
Magnetic moment ... 11.0 μB/f.u.
Calculated volume ... 55.01 A^3/atom
Formation energy from raw total energies ... 2.4510 eV/atom

```
data_CsMo2ICl
_space_group_name_H-M_alt 'P 4/m m m'
_space_group_IT_number 123
_space_group_name_Hall '-P 4 2'
_cell_length_a 6.542
_cell_length_b 6.542
_cell_length_c 6.427
_cell_angle_alpha 90.00
_cell_angle_beta 90.00
_cell_angle_gamma 90.00
loop_
_atom_site_label
_atom_site_type_symbol
_atom_site_fract_x
_atom_site_fract_y
_atom_site_fract_z
_atom_site_occupancy
Cs1 Cs 0.000 0.000 0.000 1
Mo1 Mo 0.000 0.500 0.000 1
I1 I 0.000 0.000 0.500 1
Cl1 Cl 0.500 0.500 0.500 1
```

(8)
Compound: CsMo3I3Cl4
Source: Alexandria
Functional: GGA-PBEsol
Structure: optimized geometry

Computed properties:
Magnetic moment ... 0.0 μB/f.u.
Calculated volume ... 33.30 A^3/atom
Formation energy from raw total energies ... -0.9173 eV/atom

```
data_CsMo3I3Cl4
_space_group_name_H-M_alt 'P 3 1 c'
_space_group_IT_number 159
_cell_length_a 10.3518
_cell_length_b 10.3518
_cell_length_c 15.7895
_cell_angle_alpha 90.00
_cell_angle_beta 90.00
_cell_angle_gamma 120.00
loop_
_space_group_symop_operation_xyz
'x,y,z'
'-y,x-y,z'
'-x+y,-x,z'
'y,x,z+1/2'
'x-y,-y,z+1/2'
'-x,-x+y,z+1/2'
loop_
_atom_site_label
_atom_site_type_symbol
_atom_site_fract_x
_atom_site_fract_y
_atom_site_fract_z
_atom_site_occupancy
Cs1 Cs 0.0000 0.0000 0.0000 1
Cs2 Cs 0.3333 0.6667 0.2516 1
Mo1 Mo 0.1869 0.6642 0.8192 1
Mo2 Mo 0.1876 0.5221 0.6852 1
I1 I 0.0489 0.3559 0.0903 1
I2 I 0.0501 0.6912 0.4141 1
Cl1 Cl 0.0624 0.6704 0.6879 1
Cl2 Cl 0.0636 0.3908 0.8165 1
Cl3 Cl 0.3333 0.6667 0.5632 1
Cl4 Cl 0.3333 0.6667 0.9412 1
```

(9)
Compound: CsTeICl2
Source: Alexandria
Functional: GGA-PBEsol
Structure: optimized geometry

Computed properties:
Magnetic moment ... 0.0 μB/f.u.
Calculated volume ... 36.82 A^3/atom
Formation energy from raw total energies ... -0.5274 eV/atom

```
data_CsTeICl2
_space_group_name_H-M_alt 'P 4/m m m'
_space_group_IT_number 123
_space_group_name_Hall '-P 4 2'
_cell_length_a 5.634
_cell_length_b 5.634
_cell_length_c 5.800
_cell_angle_alpha 90.00
_cell_angle_beta 90.00
_cell_angle_gamma 90.00
loop_
_atom_site_label
_atom_site_type_symbol
_atom_site_fract_x
_atom_site_fract_y
_atom_site_fract_z
_atom_site_occupancy
Cs1 Cs 0.000 0.000 0.000 1
Te1 Te 0.500 0.500 0.000 1
I1 I 0.500 0.500 0.500 1
Cl1 Cl 0.000 0.500 0.500 1
```

(10)
Compound: CsInCl2
Source: Alexandria
Functional: GGA-PBEsol
Structure: optimized geometry

Computed properties:
Magnetic moment ... 0.0 μB/f.u.
Calculated volume ... 47.91 A^3/atom
Formation energy from raw total energies ... -1.2324 eV/atom

```
data_CsInCl2
_space_group_name_H-M_alt 'I -4 2 d'
_space_group_IT_number 122
_space_group_name_Hall 'I -4 2bw'
_cell_length_a 7.112
_cell_length_b 7.112
_cell_length_c 15.154
_cell_angle_alpha 90.00
_cell_angle_beta 90.00
_cell_angle_gamma 90.00
loop_
_atom_site_label
_atom_site_type_symbol
_atom_site_fract_x
_atom_site_fract_y
_atom_site_fract_z
_atom_site_occupancy
Cs1 Cs 0.000 0.000 0.000 1
In1 In 0.000 0.000 0.500 1
Cl1 Cl 0.209 0.250 0.625 1
```

(11)
Compound: Cs2KInCl6
Source: Alexandria
Functional: GGA-PBEsol
Structure: optimized geometry

Computed properties:
Magnetic moment ... 0.0 μB/f.u.
Calculated volume ... 32.10 A^3/atom
Formation energy from raw total energies ... -1.6801 eV/atom

```
data_Cs2KInCl6
_space_group_name_H-M_alt 'F m -3 m'
_space_group_IT_number 225
_space_group_name_Hall '-F 4 2 3'
_cell_length_a 10.869
_cell_length_b 10.869
_cell_length_c 10.869
_cell_angle_alpha 90.00
_cell_angle_beta 90.00
_cell_angle_gamma 90.00
loop_
_atom_site_label
_atom_site_type_symbol
_atom_site_fract_x
_atom_site_fract_y
_atom_site_fract_z
_atom_site_occupancy
Cs1 Cs 0.250 0.250 0.250 1
K1 K 0.000 0.000 0.000 1
In1 In 0.000 0.000 0.500 1
Cl1 Cl 0.000 0.000 0.269 1
```

(12)
Compound: Cs2LiInCl6
Source: Alexandria
Functional: GGA-PBEsol
Structure: optimized geometry

Computed properties:
Magnetic moment ... 0.0 μB/f.u.
Calculated volume ... 26.72 A^3/atom
Formation energy from raw total energies ... -1.6621 eV/atom

```
data_Cs2LiInCl6
_space_group_name_H-M_alt 'F m -3 m'
_space_group_IT_number 225
_space_group_name_Hall '-F 4 2 3'
_cell_length_a 10.224
_cell_length_b 10.224
_cell_length_c 10.224
_cell_angle_alpha 90.00
_cell_angle_beta 90.00
_cell_angle_gamma 90.00
loop_
_atom_site_label
_atom_site_type_symbol
_atom_site_fract_x
_atom_site_fract_y
_atom_site_fract_z
_atom_site_occupancy
Cs1 Cs 0.250 0.250 0.250 1
Li1 Li 0.000 0.000 0.000 1
In1 In 0.000 0.000 0.500 1
Cl1 Cl 0.000 0.000 0.253 1
```

(13)
Compound: Cs2LiInCl6
Source: Alexandria
Functional: GGA-PBEsol
Structure: optimized geometry

Computed properties:
Magnetic moment ... 0.0 μB/f.u.
Calculated volume ... 27.39 A^3/atom
Formation energy from raw total energies ... -1.6703 eV/atom

```
data_Cs2LiInCl6
_space_group_name_H-M_alt 'R -3 m'
_space_group_IT_number 166
_space_group_name_Hall '-R 3 2"'
_cell_length_a 7.2534
_cell_length_b 7.2534
_cell_length_c 36.0726
_cell_angle_alpha 90.00
_cell_angle_beta 90.00
_cell_angle_gamma 120.00
loop_
_atom_site_label
_atom_site_type_symbol
_atom_site_fract_x
_atom_site_fract_y
_atom_site_fract_z
_atom_site_occupancy
Cs1 Cs 0.0000 0.0000 0.1258 1
Cs2 Cs 0.0000 0.0000 0.2907 1
Li1 Li 0.0000 0.0000 0.4131 1
In1 In 0.0000 0.0000 0.0000 1
In2 In 0.0000 0.0000 0.5000 1
Cl1 Cl 0.0059 0.5029 0.7070 1
Cl2 Cl 0.0141 0.5071 0.1245 1
```

(14)
Compound: CsRb2InCl6
Source: Alexandria
Functional: GGA-PBEsol
Structure: optimized geometry

Computed properties:
Magnetic moment ... 0.0 μB/f.u.
Calculated volume ... 36.33 A^3/atom
Formation energy from raw total energies ... -1.5837 eV/atom

```
data_CsRb2InCl6
_space_group_name_H-M_alt 'F m -3 m'
_space_group_IT_number 225
_space_group_name_Hall '-F 4 2 3'
_cell_length_a 11.326
_cell_length_b 11.326
_cell_length_c 11.326
_cell_angle_alpha 90.00
_cell_angle_beta 90.00
_cell_angle_gamma 90.00
loop_
_atom_site_label
_atom_site_type_symbol
_atom_site_fract_x
_atom_site_fract_y
_atom_site_fract_z
_atom_site_occupancy
Cs1 Cs 0.000 0.000 0.000 1
Rb1 Rb 0.250 0.250 0.250 1
In1 In 0.000 0.000 0.500 1
Cl1 Cl 0.000 0.000 0.279 1
```

(15)
Compound: Cs4InSbCl12
Source: Alexandria
Functional: GGA-PBEsol
Structure: optimized geometry

Computed properties:
Magnetic moment ... 0.0 μB/f.u.
Calculated volume ... 30.73 A^3/atom
Formation energy from raw total energies ... -1.4435 eV/atom

```
data_Cs4InSbCl12
_space_group_name_H-M_alt 'P 4/m m m'
_space_group_IT_number 123
_space_group_name_Hall '-P 4 2'
_cell_length_a 7.298
_cell_length_b 7.298
_cell_length_c 10.385
_cell_angle_alpha 90.00
_cell_angle_beta 90.00
_cell_angle_gamma 90.00
loop_
_atom_site_label
_atom_site_type_symbol
_atom_site_fract_x
_atom_site_fract_y
_atom_site_fract_z
_atom_site_occupancy
Cs1 Cs 0.000 0.500 0.226 1
In1 In 0.000 0.000 0.000 1
Sb1 Sb 0.500 0.500 0.500 1
Cl1 Cl 0.000 0.000 0.244 1
Cl2 Cl 0.245 0.245 0.000 1
Cl3 Cl 0.268 0.268 0.500 1
Cl4 Cl 0.500 0.500 0.269 1
```

(16)
Compound: Cs2TlInCl6
Source: Alexandria
Functional: GGA-PBEsol
Structure: optimized geometry

Computed properties:
Magnetic moment ... 0.0 μB/f.u.
Calculated volume ... 32.80 A^3/atom
Formation energy from raw total energies ... -1.4746 eV/atom

```
data_Cs2TlInCl6
_space_group_name_H-M_alt 'F m -3 m'
_space_group_IT_number 225
_space_group_name_Hall '-F 4 2 3'
_cell_length_a 10.948
_cell_length_b 10.948
_cell_length_c 10.948
_cell_angle_alpha 90.00
_cell_angle_beta 90.00
_cell_angle_gamma 90.00
loop_
_atom_site_label
_atom_site_type_symbol
_atom_site_fract_x
_atom_site_fract_y
_atom_site_fract_z
_atom_site_occupancy
Cs1 Cs 0.250 0.250 0.250 1
Tl1 Tl 0.000 0.000 0.000 1
In1 In 0.000 0.000 0.500 1
Cl1 Cl 0.000 0.000 0.270 1
```